A geometry-optimized Rb3PuMg2F9 structure. Source: Alexandria via LeMat-Bulk, functional PBE-GGA.

Theoretical density ... 4.8 Mg/m³
Space-group type ... P-3m1
Total magnetization ... 5.9 μB per formula unit
ΔE_f (raw) ... -3.114 eV/atom
VASP energy ... -84.0 eV per cell

Cell lengths 6.0795, 6.0795, 7.7576 Å; angles 90.00, 90.00, 120.00 degrees
Site moments in Bohr magnetons follow the coordinates.
Atoms (fractional coordinates):
Rb1 0.3333 0.6667 0.6907  0.01
Rb2 0.0000 0.0000 0.0000  0.00
Rb3 0.6667 0.3333 0.3093  0.01
Pu1 0.0000 0.0000 0.5000  5.72
Mg1 0.3333 0.6667 0.1485  0.00
Mg2 0.6667 0.3333 0.8515  0.00
F1 0.8221 0.1779 0.6978  0.00
F2 0.8221 0.6441 0.6978  0.00
F3 0.3559 0.1779 0.6978  0.00
F4 0.6441 0.8221 0.3022  0.00
F5 0.1779 0.3559 0.3022  0.00
F6 0.1779 0.8221 0.3022  0.00
F7 0.5000 0.0000 0.0000  0.00
F8 0.0000 0.5000 0.0000  0.00
F9 0.5000 0.5000 0.0000  0.00